1.
# GGA-PBE Sm6AsAu2Se3, relaxed
data_Sm6AsAu2Se3
_chemical_formula_sum 'Sm6 As1 Au2 Se3'
_symmetry_space_group_name_H-M 'P 1'
_symmetry_Int_Tables_number 1
_cell_length_a 4.1597
_cell_length_b 8.5642
_cell_length_c 9.5610
_cell_angle_alpha 105.84
_cell_angle_beta 102.56
_cell_angle_gamma 90.00
loop_
_symmetry_equiv_pos_as_xyz
'x,y,z'
loop_
_atom_site_label
_atom_site_type_symbol
_atom_site_fract_x
_atom_site_fract_y
_atom_site_fract_z
_atom_site_occupancy
Sm1 Sm 0.3344 0.9038 0.6689 1
Sm2 Sm 0.6610 0.5996 0.3220 1
Sm3 Sm 0.6656 0.0962 0.3311 1
Sm4 Sm 0.0030 0.2437 0.0060 1
Sm5 Sm 0.9970 0.7563 0.9940 1
Sm6 Sm 0.3390 0.4004 0.6780 1
As1 As 0.5000 0.0000 0.0000 1
Au1 Au 0.8246 0.6404 0.6493 1
Au2 Au 0.1754 0.3596 0.3507 1
Se1 Se 0.5000 0.5000 0.0000 1
Se2 Se 0.8364 0.1520 0.6727 1
Se3 Se 0.1636 0.8480 0.3273 1
# - Raw formation energy: -1.419 eV per atom
# - Symmetry: C2/m, No. 12

---

2.
# GGA-PBE La3Nd4PuTe8, relaxed
data_La3Nd4PuTe8
_chemical_formula_sum 'La3 Nd4 Pu1 Te8'
_symmetry_space_group_name_H-M 'P 1'
_symmetry_Int_Tables_number 1
_cell_length_a 9.0646
_cell_length_b 9.0309
_cell_length_c 9.0637
_cell_angle_alpha 120.11
_cell_angle_beta 120.00
_cell_angle_gamma 90.00
loop_
_symmetry_equiv_pos_as_xyz
'x,y,z'
loop_
_atom_site_label
_atom_site_type_symbol
_atom_site_fract_x
_atom_site_fract_y
_atom_site_fract_z
_atom_site_occupancy
La1 La 0.5000 0.5000 0.0000 1
La2 La 0.5000 0.5000 0.5000 1
La3 La 0.0000 0.5000 0.5000 1
Nd1 Nd 0.5000 0.0000 0.0000 1
Nd2 Nd 0.5000 0.0000 0.5000 1
Nd3 Nd 0.0000 0.0000 0.0000 1
Nd4 Nd 0.0000 0.0000 0.5000 1
Pu1 Pu 0.0000 0.5000 0.0000 1
Te1 Te 0.2479 0.7510 0.0031 1
Te2 Te 0.2479 0.7511 0.4958 1
Te3 Te 0.2484 0.2453 0.4969 1
Te4 Te 0.7552 0.7510 0.0031 1
Te5 Te 0.2448 0.2490 0.9969 1
Te6 Te 0.7516 0.7547 0.5031 1
Te7 Te 0.7521 0.2489 0.5042 1
Te8 Te 0.7521 0.2490 0.9969 1
# - Raw formation energy: -1.453 eV per atom
# - Symmetry: R-3m, No. 166

---

3.
# GGA-PBE Na3Pu3CoSe8, relaxed
data_Na3Pu3CoSe8
_chemical_formula_sum 'Na3 Pu3 Co1 Se8'
_symmetry_space_group_name_H-M 'P 1'
_symmetry_Int_Tables_number 1
_cell_length_a 8.0873
_cell_length_b 8.0874
_cell_length_c 8.4664
_cell_angle_alpha 118.51
_cell_angle_beta 90.00
_cell_angle_gamma 120.00
loop_
_symmetry_equiv_pos_as_xyz
'x,y,z'
loop_
_atom_site_label
_atom_site_type_symbol
_atom_site_fract_x
_atom_site_fract_y
_atom_site_fract_z
_atom_site_occupancy
Na1 Na 0.0000 0.0000 0.0000 1
Na2 Na 0.0000 0.5000 0.0000 1
Na3 Na 0.5000 0.5000 0.0000 1
Pu1 Pu 0.5000 0.0000 0.5000 1
Pu2 Pu 0.5000 0.5000 0.5000 1
Pu3 Pu 0.0000 0.5000 0.5000 1
Co1 Co 0.0000 0.0000 0.5000 1
Se1 Se 0.2555 0.5110 0.2664 1
Se2 Se 0.7445 0.4890 0.7336 1
Se3 Se 0.7843 0.5685 0.2954 1
Se4 Se 0.2157 0.4315 0.7046 1
Se5 Se 0.7842 0.0112 0.2953 1
Se6 Se 0.2158 0.9888 0.7047 1
Se7 Se 0.2271 0.0112 0.2953 1
Se8 Se 0.7729 0.9888 0.7047 1
# - Raw formation energy: -1.106 eV per atom
# - Symmetry: R-3m, No. 166

---

4.
# GGA-PBE LaOs3Se, relaxed
data_LaOs3Se
_chemical_formula_sum 'La1 Os3 Se1'
_symmetry_space_group_name_H-M 'P 1'
_symmetry_Int_Tables_number 1
_cell_length_a 4.6487
_cell_length_b 4.6487
_cell_length_c 4.6487
_cell_angle_alpha 90.00
_cell_angle_beta 90.00
_cell_angle_gamma 90.00
loop_
_symmetry_equiv_pos_as_xyz
'x,y,z'
loop_
_atom_site_label
_atom_site_type_symbol
_atom_site_fract_x
_atom_site_fract_y
_atom_site_fract_z
_atom_site_occupancy
Os1 Os 0.0000 0.5000 0.0000 1
Os2 Os 0.0000 0.0000 0.5000 1
Os3 Os 0.5000 0.0000 0.0000 1
Se1 Se 0.0000 0.0000 0.0000 1
La1 La 0.5000 0.5000 0.5000 1
# - Raw formation energy: 0.919 eV per atom
# - Symmetry: Pm-3m, No. 221
# - Energy relative to the lowest polymorph listed for this composition: 0 kJ/mol of formula units

---

5.
# GGA-PBE RbScSi, relaxed
data_RbScSi
_chemical_formula_sum 'Rb4 Sc4 Si4'
_symmetry_space_group_name_H-M 'P 1'
_symmetry_Int_Tables_number 1
_cell_length_a 11.9034
_cell_length_b 6.3521
_cell_length_c 7.6335
_cell_angle_alpha 90.00
_cell_angle_beta 90.00
_cell_angle_gamma 90.00
loop_
_symmetry_equiv_pos_as_xyz
'x,y,z'
loop_
_atom_site_label
_atom_site_type_symbol
_atom_site_fract_x
_atom_site_fract_y
_atom_site_fract_z
_atom_site_occupancy
Sc1 Sc 0.0000 0.0000 0.0000 1
Sc2 Sc 0.5000 0.5000 0.5000 1
Sc3 Sc 0.5000 0.0000 0.5000 1
Sc4 Sc 0.0000 0.5000 0.0000 1
Si1 Si 0.4070 0.2500 0.2793 1
Si2 Si 0.0930 0.7500 0.7793 1
Si3 Si 0.5930 0.7500 0.7207 1
Si4 Si 0.9070 0.2500 0.2207 1
Rb1 Rb 0.6482 0.2500 0.9820 1
Rb2 Rb 0.8518 0.7500 0.4820 1
Rb3 Rb 0.3518 0.7500 0.0180 1
Rb4 Rb 0.1482 0.2500 0.5180 1
# - Raw formation energy: 0.551 eV per atom
# - Symmetry: Pnma, No. 62
# - Energy relative to the lowest polymorph listed for this composition: 233 kJ/mol of formula units

---

6.
# GGA-PBE Na2LiIn5Ag2, relaxed
data_Na2LiIn5Ag2
_chemical_formula_sum 'Na4 Li2 In10 Ag4'
_symmetry_space_group_name_H-M 'P 1'
_symmetry_Int_Tables_number 1
_cell_length_a 4.5274
_cell_length_b 10.2838
_cell_length_c 10.2838
_cell_angle_alpha 90.00
_cell_angle_beta 90.00
_cell_angle_gamma 90.00
loop_
_symmetry_equiv_pos_as_xyz
'x,y,z'
loop_
_atom_site_label
_atom_site_type_symbol
_atom_site_fract_x
_atom_site_fract_y
_atom_site_fract_z
_atom_site_occupancy
Na1 Na 0.0000 0.6747 0.1747 1
Na2 Na 0.0000 0.3253 0.8253 1
Na3 Na 0.0000 0.1747 0.3253 1
Na4 Na 0.0000 0.8253 0.6747 1
Li1 Li 0.0000 0.0000 0.0000 1
Li2 Li 0.0000 0.5000 0.5000 1
In1 In 0.5000 0.2001 0.0659 1
In2 In 0.5000 0.7999 0.9341 1
In3 In 0.5000 0.0659 0.7999 1
In4 In 0.5000 0.7001 0.4341 1
In5 In 0.5000 0.9341 0.2001 1
In6 In 0.5000 0.2999 0.5659 1
In7 In 0.5000 0.5659 0.7001 1
In8 In 0.5000 0.4341 0.2999 1
In9 In 0.5000 0.5000 0.0000 1
In10 In 0.5000 0.0000 0.5000 1
Ag1 Ag 0.0000 0.1237 0.6237 1
Ag2 Ag 0.0000 0.8763 0.3763 1
Ag3 Ag 0.0000 0.6237 0.8763 1
Ag4 Ag 0.0000 0.3763 0.1237 1
# - Symmetry: P4/mbm, No. 127
# - Total DFT energy (no corrections): -2.51 eV per atom

---

7.
# GGA-PBE Cd2Rh, relaxed
data_Cd2Rh
_chemical_formula_sum 'Cd4 Rh2'
_symmetry_space_group_name_H-M 'P 1'
_symmetry_Int_Tables_number 1
_cell_length_a 12.5121
_cell_length_b 12.5121
_cell_length_c 12.5121
_cell_angle_alpha 165.86
_cell_angle_beta 165.86
_cell_angle_gamma 20.05
loop_
_symmetry_equiv_pos_as_xyz
'x,y,z'
loop_
_atom_site_label
_atom_site_type_symbol
_atom_site_fract_x
_atom_site_fract_y
_atom_site_fract_z
_atom_site_occupancy
Cd1 Cd 0.4285 0.4285 0.0000 1
Cd2 Cd 0.5715 0.5715 0.0000 1
Cd3 Cd 0.1785 0.6785 0.5000 1
Cd4 Cd 0.3215 0.8215 0.5000 1
Rh1 Rh 0.7500 0.2500 0.5000 1
Rh2 Rh 0.0000 0.0000 0.0000 1
# - Symmetry: I4_1/amd, No. 141
# - Total DFT energy (no corrections): -3.11 eV per atom

---

8.
# GGA-PBE TbPrCl4, relaxed
data_TbPrCl4
_chemical_formula_sum 'Tb2 Pr2 Cl8'
_symmetry_space_group_name_H-M 'P 1'
_symmetry_Int_Tables_number 1
_cell_length_a 6.8096
_cell_length_b 6.8696
_cell_length_c 9.0907
_cell_angle_alpha 104.59
_cell_angle_beta 104.33
_cell_angle_gamma 109.64
loop_
_symmetry_equiv_pos_as_xyz
'x,y,z'
loop_
_atom_site_label
_atom_site_type_symbol
_atom_site_fract_x
_atom_site_fract_y
_atom_site_fract_z
_atom_site_occupancy
Tb1 Tb 0.8115 0.0615 0.1229 1
Tb2 Tb 0.1885 0.9385 0.8771 1
Pr1 Pr 0.3071 0.5571 0.1142 1
Pr2 Pr 0.6929 0.4429 0.8858 1
Cl1 Cl 0.3159 0.0678 0.6533 1
Cl2 Cl 0.0784 0.8414 0.1383 1
Cl3 Cl 0.1627 0.4146 0.3467 1
Cl4 Cl 0.4400 0.7030 0.8617 1
Cl5 Cl 0.6841 0.9322 0.3467 1
Cl6 Cl 0.8373 0.5854 0.6533 1
Cl7 Cl 0.9216 0.1587 0.8617 1
Cl8 Cl 0.5600 0.2970 0.1383 1
# - Raw formation energy: -1.895 eV per atom
# - Symmetry: C2/c, No. 15

---

The following total moment values (in μB per cell) correspond, in order, to the records above: 0.00 5.99 13.99 0.00 1.75 0.00 0.00 0.00.
The following Fermi-level density of states values (in states/eV per atom) correspond, in order, to the records above: 0.43 1.17 1.93 0.73 1.17 0.45 0.63 0.55.